Material: Be2In2Pt
Method: DFT, PBE
State: relaxed

Lattice parameters (Å, degrees): 6.306 6.306 3.937 90.00 90.00 90.00
Fractional coordinates of all 10 atoms:
In  0.328  0.172  0.500
Pt  0.500  0.500  0.000
Be  0.871  0.629  0.000
In  0.172  0.672  0.500
Pt  0.000  0.000  0.000
Be  0.629  0.129  0.000
Be  0.371  0.871  0.000
Be  0.129  0.371  0.000
In  0.828  0.328  0.500
In  0.672  0.828  0.500

Results
symmetry: P4/mbm, No. 127
E_form: 0.031 eV per atom

=====

Material: Be2InPt2
Method: DFT, PBE
State: relaxed

Lattice parameters (Å, degrees): 3.385 3.385 6.762 75.51 75.51 90.00
Fractional coordinates of all 5 atoms:
Pt  0.378  0.378  0.244
Be  0.750  0.250  0.500
In  0.000  0.000  0.000
Be  0.250  0.750  0.500
Pt  0.622  0.622  0.756

Results
symmetry: I4/mmm, No. 139
E_form: -0.512 eV per atom

=====

Material: BeIn2Pt
Method: DFT, PBE
State: relaxed

Lattice parameters (Å, degrees): 4.708 4.708 4.695 78.70 78.70 46.43
Fractional coordinates of all 4 atoms:
In  0.491  0.491  0.499
In  0.009  0.009  0.001
Be  0.250  0.250  0.250
Pt  0.750  0.750  0.750

Results
symmetry: C2/m, No. 12
E_form: 0.095 eV per atom

=====

Material: BeInPt2
Method: DFT, PBE
State: relaxed

Lattice parameters (Å, degrees): 8.606 8.606 8.606 19.64 19.64 19.64
Fractional coordinates of all 4 atoms:
In  0.755  0.755  0.755
Be  0.509  0.509  0.509
Pt  0.999  0.999  0.999
Pt  0.238  0.238  0.238

Results
symmetry: R3m, No. 160
E_form: -0.076 eV per atom

=====

Let's list VASP energy in order: -3.76, -4.97, -3.72, -4.71 eV per atom.